Entry 1:
VASP calculation (PBE) on Li2W after structural relaxation.

Lattice parameters (Å, degrees): 4.294 4.294 5.087 90.00 90.00 120.00
Sites, in units of the cell vectors:
1 Li 0.000 0.000 0.000
2 Li 0.000 0.000 0.500
3 Li 0.333 0.667 0.250
4 Li 0.667 0.333 0.750
5 W 0.333 0.667 0.750
6 W 0.667 0.333 0.250

Properties
**Total magnetization**: 0.0 μB per formula unit
**Formation enthalpy at 0 K**: 1.208 eV/atom
**Symmetry**: P6_3/mmc
**Excess energy over the best structure of this formula in the dataset**: 824.2 meV per atom



Entry 2:
VASP calculation (PBE) on Tb2CeNd after structural relaxation.

Lattice parameters (Å, degrees): 11.856 11.856 11.856 17.34 17.34 17.34
Sites, in units of the cell vectors:
1 Tb 0.000 0.000 0.000
2 Tb 0.165 0.165 0.165
3 Ce 0.416 0.416 0.416
4 Nd 0.582 0.582 0.582

Properties
**Total magnetization**: 1.0 μB per formula unit
**Formation enthalpy at 0 K**: 0.063 eV/atom
**Symmetry**: R3m
**Excess energy over the best structure of this formula in the dataset**: 3.1 meV per atom



Entry 3:
VASP calculation (PBE) on SrGdHo after structural relaxation.

Lattice parameters (Å, degrees): 3.731 3.731 9.285 90.00 90.00 120.00
Sites, in units of the cell vectors:
1 Sr 0.000 0.000 0.000
2 Gd 0.667 0.333 0.359
3 Ho 0.333 0.667 0.651

Properties
**Total magnetization**: 7.6 μB per formula unit
**Formation enthalpy at 0 K**: 0.152 eV/atom
**Symmetry**: P3m1
**Excess energy over the best structure of this formula in the dataset**: 25.3 meV per atom



Entry 4:
VASP calculation (PBE) on Te5Au3 after structural relaxation.

Lattice parameters (Å, degrees): 8.006 8.006 7.663 90.00 90.00 120.00
Sites, in units of the cell vectors:
1 Te 0.000 0.222 0.250
2 Te 0.000 0.778 0.750
3 Te 0.222 0.000 0.250
4 Te 0.222 0.222 0.750
5 Te 0.333 0.667 0.000
6 Te 0.333 0.667 0.500
7 Te 0.667 0.333 0.000
8 Te 0.667 0.333 0.500
9 Te 0.778 0.000 0.750
10 Te 0.778 0.778 0.250
11 Au 0.000 0.426 0.750
12 Au 0.000 0.574 0.250
13 Au 0.426 0.000 0.750
14 Au 0.426 0.426 0.250
15 Au 0.574 0.000 0.250
16 Au 0.574 0.574 0.750

Properties
**Total magnetization**: 0.0 μB per formula unit
**Formation energy without anion corrections**: 0.237 eV per atom
**Symmetry**: P6_3/mcm
**Excess energy over the best structure of this formula in the dataset**: 10.6 meV per atom



Entry 5:
VASP calculation (PBE) on SmHCl after structural relaxation.

Lattice parameters (Å, degrees): 6.874 6.874 6.874 143.70 143.70 52.27
Sites, in units of the cell vectors:
1 Sm 0.151 0.151 0.000
2 Sm 0.849 0.849 0.000
3 H 0.250 0.750 0.500
4 H 0.750 0.250 0.500
5 Cl 0.000 0.500 0.500
6 Cl 0.500 0.000 0.500

Properties
**Total magnetization**: 0.0 μB per formula unit
**Energy**: -4.452 eV per atom
**Symmetry**: I4/mmm



Entry 6:
VASP calculation (PBE) on NaAlAs2 after structural relaxation.

Lattice parameters (Å, degrees): 8.184 8.184 8.184 24.59 24.59 24.59
Sites, in units of the cell vectors:
1 Na 0.000 0.000 0.000
2 Al 0.500 0.500 0.500
3 As 0.237 0.237 0.237
4 As 0.763 0.763 0.763

Properties
**Total magnetization**: 0.0 μB per formula unit
**Formation enthalpy at 0 K**: -0.215 eV/atom
**Symmetry**: R-3m



Entry 7:
VASP calculation (PBE) on AsOsRu2 after structural relaxation.

Lattice parameters (Å, degrees): 2.801 2.801 8.747 90.00 90.00 119.51
Sites, in units of the cell vectors:
1 As 0.000 0.000 0.000
2 Os 0.500 0.500 0.751
3 Ru 0.000 0.000 0.497
4 Ru 0.500 0.500 0.239

Properties
**Total magnetization**: 0.2 μB per formula unit
**Formation enthalpy at 0 K**: 0.627 eV/atom
**Symmetry**: Cmm2



Entry 8:
VASP calculation (PBE) on Dy2TmSb3 after structural relaxation.

Lattice parameters (Å, degrees): 7.564 7.564 7.564 146.42 131.82 60.01
Sites, in units of the cell vectors:
1 Dy 0.167 0.167 0.000
2 Dy 0.833 0.833 0.000
3 Tm 0.500 0.500 0.000
4 Sb 0.000 0.500 0.500
5 Sb 0.335 0.835 0.500
6 Sb 0.665 0.165 0.500

Properties
**Total magnetization**: 0.0 μB per formula unit
**Formation energy without anion corrections**: -1.110 eV per atom
**Symmetry**: Immm



Entry 9:
VASP calculation (PBE) on Th2OsSe after structural relaxation.

Lattice parameters (Å, degrees): 7.723 7.723 7.723 31.02 31.02 31.02
Sites, in units of the cell vectors:
1 Th 0.238 0.238 0.238
2 Th 0.762 0.762 0.762
3 Os 0.500 0.500 0.500
4 Se 0.000 0.000 0.000

Properties
**Total magnetization**: 0.0 μB per formula unit
**Formation energy without anion corrections**: -1.010 eV per atom
**Symmetry**: R-3m
**Excess energy over the best structure of this formula in the dataset**: 0.0 meV per atom



Entry 10:
VASP calculation (PBE) on ReSi2Sb after structural relaxation.

Lattice parameters (Å, degrees): 3.509 4.421 4.648 90.00 93.20 90.00
Sites, in units of the cell vectors:
1 Re 0.000 0.000 0.000
2 Si 0.028 0.500 0.749
3 Si 0.972 0.500 0.251
4 Sb 0.500 0.000 0.500

Properties
**Total magnetization**: 0.0 μB per formula unit
**Formation energy without anion corrections**: 0.416 eV per atom
**Symmetry**: P2/m



Entry 11:
VASP calculation (PBE) on Dy2Si6Ir9 after structural relaxation.

Lattice parameters (Å, degrees): 5.598 5.598 10.847 90.00 90.00 120.00
Sites, in units of the cell vectors:
1 Dy 0.000 0.000 0.194
2 Dy 0.000 0.000 0.806
3 Si 0.333 0.667 0.166
4 Si 0.333 0.667 0.500
5 Si 0.333 0.667 0.834
6 Si 0.667 0.333 0.166
7 Si 0.667 0.333 0.500
8 Si 0.667 0.333 0.834
9 Ir 0.000 0.500 0.000
10 Ir 0.000 0.500 0.332
11 Ir 0.000 0.500 0.668
12 Ir 0.500 0.000 0.000
13 Ir 0.500 0.000 0.332
14 Ir 0.500 0.000 0.668
15 Ir 0.500 0.500 0.000
16 Ir 0.500 0.500 0.332
17 Ir 0.500 0.500 0.668

Properties
**Total magnetization**: 0.0 μB per formula unit
**Formation energy without anion corrections**: -0.692 eV per atom
**Symmetry**: P6/mmm



Entry 12:
VASP calculation (PBE) on Mn3SeS after structural relaxation.

Lattice parameters (Å, degrees): 4.489 4.489 4.489 90.00 90.00 90.00
Sites, in units of the cell vectors:
1 Mn 0.000 0.000 0.500
2 Mn 0.000 0.500 0.000
3 Mn 0.500 0.000 0.000
4 Se 0.500 0.500 0.500
5 S 0.000 0.000 0.000

Properties
**Total magnetization**: 11.8 μB per formula unit
**Formation energy without anion corrections**: 0.229 eV per atom
**Symmetry**: Pm-3m
**Excess energy over the best structure of this formula in the dataset**: 0.0 meV per atom



Entry 13:
VASP calculation (PBE) on TeI2N2 after structural relaxation.

Lattice parameters (Å, degrees): 6.621 6.621 9.121 104.39 104.39 36.74
Sites, in units of the cell vectors:
1 Te 0.000 0.000 0.000
2 I 0.343 0.343 0.834
3 I 0.657 0.657 0.166
4 N 0.045 0.045 0.530
5 N 0.955 0.955 0.470

Properties
**Total magnetization**: 0.0 μB per formula unit
**Formation energy without anion corrections**: -0.004 eV per atom
**Symmetry**: C2/m
**Excess energy over the best structure of this formula in the dataset**: 0.0 meV per atom



Entry 14:
VASP calculation (PBE) on SmPa2Sn after structural relaxation.

Lattice parameters (Å, degrees): 4.502 4.502 5.155 90.00 90.00 90.00
Sites, in units of the cell vectors:
1 Sm 0.000 0.000 0.000
2 Pa 0.000 0.500 0.500
3 Pa 0.500 0.000 0.500
4 Sn 0.500 0.500 0.000

Properties
**Total magnetization**: 0.0 μB per formula unit
**Formation enthalpy at 0 K**: -0.156 eV/atom
**Symmetry**: P4/mmm
**Excess energy over the best structure of this formula in the dataset**: 0.0 meV per atom



Entry 15:
VASP calculation (PBE) on Ta2BeSi after structural relaxation.

Lattice parameters (Å, degrees): 5.483 5.483 5.483 104.43 104.43 120.11
Sites, in units of the cell vectors:
1 Ta 0.117 0.125 0.492
2 Ta 0.375 0.883 0.008
3 Ta 0.633 0.625 0.508
4 Ta 0.875 0.367 0.992
5 Be 0.000 0.000 0.000
6 Be 0.750 0.250 0.500
7 Si 0.250 0.750 0.500
8 Si 0.500 0.500 0.000

Properties
**Total magnetization**: 0.0 μB per formula unit
**Formation energy without anion corrections**: 0.153 eV per atom
**Symmetry**: I-42d
**Excess energy over the best structure of this formula in the dataset**: 720.2 meV per atom



Entry 16:
VASP calculation (PBE) on Tb3Er2Zn2 after structural relaxation.

Lattice parameters (Å, degrees): 15.283 15.283 3.520 90.00 90.00 166.69
Sites, in units of the cell vectors:
1 Tb 0.000 0.000 0.000
2 Tb 0.119 0.881 0.000
3 Tb 0.881 0.119 0.000
4 Er 0.299 0.701 0.500
5 Er 0.701 0.299 0.500
6 Zn 0.441 0.559 0.500
7 Zn 0.559 0.441 0.500

Properties
**Total magnetization**: 0.0 μB per formula unit
**Formation enthalpy at 0 K**: -0.110 eV/atom
**Symmetry**: Cmmm
**Excess energy over the best structure of this formula in the dataset**: 40.8 meV per atom



Entry 17:
VASP calculation (PBE) on TbGe2Pt4Rh after structural relaxation.

Lattice parameters (Å, degrees): 3.924 3.924 9.757 90.00 90.00 90.00
Sites, in units of the cell vectors:
1 Tb 0.000 0.000 0.000
2 Ge 0.500 0.500 0.379
3 Ge 0.500 0.500 0.621
4 Pt 0.000 0.500 0.226
5 Pt 0.000 0.500 0.774
6 Pt 0.500 0.000 0.226
7 Pt 0.500 0.000 0.774
8 Rh 0.000 0.000 0.500

Properties
**Total magnetization**: 0.0 μB per formula unit
**Formation enthalpy at 0 K**: -0.413 eV/atom
**Symmetry**: P4/mmm



Entry 18:
VASP calculation (PBE) on MoS3 after structural relaxation.

Lattice parameters (Å, degrees): 3.812 5.741 6.648 65.12 73.63 88.96
Sites, in units of the cell vectors:
1 Mo 0.000 0.000 0.000
2 S 0.136 0.363 0.703
3 S 0.507 0.771 0.999
4 S 0.851 0.074 0.299

Properties
**Total magnetization**: 0.0 μB per formula unit
**Formation energy without anion corrections**: -0.205 eV per atom
**Symmetry**: P1



Entry 19:
VASP calculation (PBE) on Mo3HAu after structural relaxation.

Lattice parameters (Å, degrees): 4.890 4.890 4.890 90.00 90.00 90.00
Sites, in units of the cell vectors:
1 Mo 0.000 0.000 0.500
2 Mo 0.000 0.500 0.000
3 Mo 0.500 0.000 0.000
4 H 0.500 0.500 0.500
5 Au 0.000 0.000 0.000

Properties
**Total magnetization**: 0.0 μB per formula unit
**Symmetry**: Pm-3m
**Excess energy over the best structure of this formula in the dataset**: 2862.6 meV per atom



Entry 20:
VASP calculation (PBE) on GdErInHg after structural relaxation.

Lattice parameters (Å, degrees): 5.296 5.296 5.296 60.00 60.00 60.00
Sites, in units of the cell vectors:
1 Gd 0.000 0.000 0.000
2 Er 0.500 0.500 0.500
3 In 0.750 0.750 0.750
4 Hg 0.250 0.250 0.250

Properties
**Total magnetization**: 7.8 μB per formula unit
**Formation enthalpy at 0 K**: -0.477 eV/atom
**Symmetry**: F-43m